Entry 1:
# LiRe2 PBE optimized geometry
# - DOS(E_F): 2.26 states/eV/f.u.
# - Formation energy: 0.2201 eV/atom
# - Offset from the most stable computed form: 0.1235 eV/atom
data_LiRe2
_space_group_name_H-M_alt 'C m c m'
_space_group_IT_number 63
_space_group_name_Hall '-C 2c 2'
_cell_length_a 2.6800
_cell_length_b 14.5314
_cell_length_c 4.3032
_cell_angle_alpha 90.00
_cell_angle_beta 90.00
_cell_angle_gamma 90.00
loop_
_atom_site_label
_atom_site_type_symbol
_atom_site_fract_x
_atom_site_fract_y
_atom_site_fract_z
Li1 Li 0.0000 0.1147 0.2500
Re1 Re 0.0000 0.2135 0.7500
Re2 Re 0.0000 0.4494 0.2500

=====

Entry 2:
# CaMoI2 PBE optimized geometry
# - DOS(E_F): 6.71 states/eV/f.u.
# - Offset from the most stable computed form: 0.0034 eV/atom
# - Formation energy (no corrections): 0.232 eV/atom
data_CaMoI2
_space_group_name_H-M_alt 'F m -3 m'
_space_group_IT_number 225
_space_group_name_Hall '-F 4 2 3'
_cell_length_a 7.3737
_cell_length_b 7.3737
_cell_length_c 7.3737
_cell_angle_alpha 90.00
_cell_angle_beta 90.00
_cell_angle_gamma 90.00
loop_
_atom_site_label
_atom_site_type_symbol
_atom_site_fract_x
_atom_site_fract_y
_atom_site_fract_z
Ca1 Ca 0.0000 0.0000 0.0000
Mo1 Mo 0.0000 0.0000 0.5000
I1 I 0.2500 0.2500 0.2500

=====

Entry 3:
# Pm7GeI12 PBE optimized geometry
# - DOS(E_F): 11.87 states/eV/f.u.
# - Formation energy (no corrections): -1.310 eV/atom
data_Pm7GeI12
_space_group_name_H-M_alt 'R -3'
_space_group_IT_number 148
_space_group_name_Hall '-R 3'
_cell_length_a 16.0596
_cell_length_b 16.0596
_cell_length_c 10.6629
_cell_angle_alpha 90.00
_cell_angle_beta 90.00
_cell_angle_gamma 120.00
loop_
_atom_site_label
_atom_site_type_symbol
_atom_site_fract_x
_atom_site_fract_y
_atom_site_fract_z
Pm1 Pm 0.0000 0.0000 0.0000
Pm2 Pm 0.0464 0.8826 0.3483
Ge1 Ge 0.0000 0.0000 0.5000
I1 I 0.0222 0.4352 0.1658
I2 I 0.0517 0.8678 0.8382

=====

Entry 4:
# Li2ZnCr PBE optimized geometry
# - DOS(E_F): 3.43 states/eV/f.u.
# - Formation energy: 0.2563 eV/atom
# - Offset from the most stable computed form: 0.0647 eV/atom
data_Li2ZnCr
_space_group_name_H-M_alt 'R 3 m'
_space_group_IT_number 160
_space_group_name_Hall 'R 3 -2"'
_cell_length_a 2.6376
_cell_length_b 2.6376
_cell_length_c 28.3995
_cell_angle_alpha 90.00
_cell_angle_beta 90.00
_cell_angle_gamma 120.00
loop_
_atom_site_label
_atom_site_type_symbol
_atom_site_fract_x
_atom_site_fract_y
_atom_site_fract_z
Li1 Li 0.0000 0.0000 0.0000
Li2 Li 0.0000 0.0000 0.2425
Zn1 Zn 0.0000 0.0000 0.7471
Cr1 Cr 0.0000 0.0000 0.4939

=====

Entry 5:
# NdEr5In PBE optimized geometry
# - DOS(E_F): 7.71 states/eV/f.u.
# - Formation energy: 0.7015 eV/atom
data_NdEr5In
_space_group_name_H-M_alt 'I m m 2'
_space_group_IT_number 44
_cell_length_a 7.9019
_cell_length_b 11.4239
_cell_length_c 6.2084
_cell_angle_alpha 90.00
_cell_angle_beta 90.00
_cell_angle_gamma 90.00
loop_
_space_group_symop_operation_xyz
'x,y,z'
'-x,-y,z'
'-x,y,z'
'x,-y,z'
'x+1/2,y+1/2,z+1/2'
'-x+1/2,-y+1/2,z+1/2'
'-x+1/2,y+1/2,z+1/2'
'x+1/2,-y+1/2,z+1/2'
loop_
_atom_site_label
_atom_site_type_symbol
_atom_site_fract_x
_atom_site_fract_y
_atom_site_fract_z
Nd1 Nd 0.0000 0.0000 0.0000
Er1 Er 0.0000 0.2535 0.5924
Er2 Er 0.0000 0.5000 0.2870
Er3 Er 0.1865 0.0000 0.4976
In1 In 0.0000 0.5000 0.7591

=====

Entry 6:
# Na2Sn5Au PBE optimized geometry
# - DOS(E_F): 2.37 states/eV/f.u.
# - Formation energy: -0.1483 eV/atom
data_Na2Sn5Au
_space_group_name_H-M_alt 'C 1 m 1'
_space_group_IT_number 8
_cell_length_a 11.7186
_cell_length_b 6.6417
_cell_length_c 6.4810
_cell_angle_alpha 90.00
_cell_angle_beta 123.52
_cell_angle_gamma 90.00
loop_
_space_group_symop_operation_xyz
'x,y,z'
'x,-y,z'
'x+1/2,y+1/2,z'
'x+1/2,-y+1/2,z'
loop_
_atom_site_label
_atom_site_type_symbol
_atom_site_fract_x
_atom_site_fract_y
_atom_site_fract_z
Na1 Na 0.0000 0.0000 0.0000
Na2 Na 0.0002 0.5000 0.3429
Sn1 Sn 0.0012 0.0000 0.4912
Sn2 Sn 0.2343 0.2608 0.9749
Sn3 Sn 0.2661 0.2397 0.5063
Au1 Au 0.0000 0.5000 0.8150

=====

Question: Look up the DOS(E_F) of the second one.
Answer: 6.71 states/eV/f.u.

=====

Copy entry 1 word for word.
# LiRe2 PBE optimized geometry
# - DOS(E_F): 2.26 states/eV/f.u.
# - Formation energy: 0.2201 eV/atom
# - Offset from the most stable computed form: 0.1235 eV/atom
data_LiRe2
_space_group_name_H-M_alt 'C m c m'
_space_group_IT_number 63
_space_group_name_Hall '-C 2c 2'
_cell_length_a 2.6800
_cell_length_b 14.5314
_cell_length_c 4.3032
_cell_angle_alpha 90.00
_cell_angle_beta 90.00
_cell_angle_gamma 90.00
loop_
_atom_site_label
_atom_site_type_symbol
_atom_site_fract_x
_atom_site_fract_y
_atom_site_fract_z
Li1 Li 0.0000 0.1147 0.2500
Re1 Re 0.0000 0.2135 0.7500
Re2 Re 0.0000 0.4494 0.2500

=====

Question: Look up the DOS(E_F) of the fifth one.
Answer: 7.71 states/eV/f.u.